An optimized crystal structure of Zn2WIO, computed with GGA+U.

Cell and atoms, written as extended XYZ:
```
5
Lattice="5.484 0.000 0.000 0.000 3.916 0.000 0.000 0.000 5.484" Properties=species:S:1:pos:R:3 pbc="T T T"
Zn 0.000 0.000 2.742
Zn 2.742 0.000 0.000
W 0.000 1.958 0.000
O 0.000 0.000 0.000
I 2.742 1.958 2.742
```

N(E_F), states/eV/f.u.: 1.98
Total moment, μB/cell: 3.26
Crystal system: tetragonal
E, eV/atom: -3.05